[1]
Material: SrZn9Ag2
Method: DFT, PBE
State: relaxed

Summary:
- Calculated formation energy: -0.01 eV per atom
- D(E_F): 4.25 states/eV/f.u.

abc: 3.172 8.856 8.856
angles: 120.00 90.00 90.00
Fractional coordinates of all 12 atoms:
Sr: 0.000 0.000 0.000
Zn: 0.500 0.815 0.185
Zn: 0.000 0.000 0.500
Zn: 0.000 0.500 0.500
Zn: 0.500 0.815 0.630
Zn: 0.500 0.185 0.815
Zn: 0.500 0.630 0.815
Zn: 0.500 0.185 0.370
Zn: 0.000 0.500 0.000
Zn: 0.500 0.370 0.185
Ag: 0.000 0.667 0.333
Ag: 0.000 0.333 0.667

[2]
Material: Th2MgAl2
Method: DFT, PBE
State: relaxed

Summary:
- Calculated formation energy: -0.23 eV per atom
- D(E_F): 4.70 states/eV/f.u.

abc: 4.485 6.021 6.021
angles: 59.91 68.13 68.13
Fractional coordinates of all 5 atoms:
Th: 0.206 0.294 0.294
Th: 0.794 0.706 0.706
Mg: 0.000 0.000 0.000
Al: 0.500 0.281 0.719
Al: 0.500 0.719 0.281

[3]
Material: LaSbTe
Method: DFT, PBE
State: relaxed

Summary:
- E_form (uncorrected): -1.26 eV/atom
- D(E_F): 1.60 states/eV/f.u.

abc: 4.430 4.430 10.121
angles: 102.64 102.64 90.00
Fractional coordinates of all 6 atoms:
La: 0.361 0.361 0.723
La: 0.639 0.639 0.277
Sb: 0.000 0.500 0.000
Sb: 0.500 0.000 0.000
Te: 0.186 0.186 0.373
Te: 0.814 0.814 0.627

[4]
Material: LiPuO
Method: DFT, PBE
State: relaxed

Summary:
- E_form (uncorrected): -1.43 eV/atom
- D(E_F): 5.10 states/eV/f.u.

abc: 5.821 8.063 11.573
angles: 44.14 90.00 111.16
Fractional coordinates of all 18 atoms:
Pu: 0.412 0.465 0.517
Pu: 0.947 0.535 0.483
Pu: 0.613 0.957 0.272
Pu: 0.656 0.043 0.728
Pu: 0.883 0.665 0.918
Pu: 0.218 0.335 0.082
O: 0.272 0.025 0.738
O: 0.248 0.975 0.262
O: 0.550 0.676 0.044
O: 0.874 0.324 0.956
O: 0.874 0.324 0.219
O: 0.550 0.676 0.781
Li: 0.819 0.000 0.000
Li: 0.819 0.000 0.500
Li: 0.632 0.411 0.273
Li: 0.221 0.589 0.727
Li: 0.221 0.589 0.184
Li: 0.632 0.411 0.816

[5]
Material: BeAg3
Method: DFT, PBE
State: relaxed

Summary:
- Calculated formation energy: 0.15 eV per atom
- D(E_F): 0.46 states/eV/f.u.

abc: 2.939 2.939 8.419
angles: 90.00 90.00 120.00
Fractional coordinates of all 4 atoms:
Be: 0.667 0.333 0.750
Ag: 0.000 0.000 0.963
Ag: 0.000 0.000 0.537
Ag: 0.667 0.333 0.250

[6]
Material: Li5Pd6Au
Method: DFT, PBE
State: relaxed

Summary:
- Calculated formation energy: -0.38 eV per atom
- D(E_F): 4.60 states/eV/f.u.

abc: 4.220 6.443 7.332
angles: 116.06 106.72 90.00
Fractional coordinates of all 12 atoms:
Au: 0.000 0.000 0.000
Pd: 0.829 0.560 0.659
Pd: 0.829 0.098 0.659
Pd: 0.500 0.720 0.000
Pd: 0.500 0.280 0.000
Pd: 0.171 0.902 0.341
Pd: 0.171 0.440 0.341
Li: 0.652 0.152 0.304
Li: 0.325 0.325 0.649
Li: 0.000 0.500 0.000
Li: 0.675 0.675 0.351
Li: 0.348 0.848 0.696

[7]
Material: La6ErSn
Method: DFT, PBE
State: relaxed

Summary:
- Calculated formation energy: -0.21 eV per atom
- D(E_F): 9.52 states/eV/f.u.

abc: 5.090 5.090 10.382
angles: 90.00 90.00 90.00
Fractional coordinates of all 8 atoms:
La: 0.500 0.500 0.000
La: 0.500 0.500 0.500
La: 0.500 0.000 0.243
La: 0.500 0.000 0.757
La: 0.000 0.500 0.243
La: 0.000 0.500 0.757
Er: 0.000 0.000 0.500
Sn: 0.000 0.000 0.000

[8]
Material: CaNd4Au5
Method: DFT, PBE
State: relaxed

Summary:
- Calculated formation energy: -0.77 eV per atom
- D(E_F): 7.82 states/eV/f.u.

abc: 3.687 3.687 18.746
angles: 90.00 90.00 90.00
Fractional coordinates of all 10 atoms:
Ca: 0.000 0.000 0.000
Nd: 0.000 0.000 0.197
Nd: 0.000 0.000 0.400
Nd: 0.000 0.000 0.600
Nd: 0.000 0.000 0.803
Au: 0.500 0.500 0.103
Au: 0.500 0.500 0.299
Au: 0.500 0.500 0.500
Au: 0.500 0.500 0.701
Au: 0.500 0.500 0.897

[9]
Material: BaCaBr
Method: DFT, PBE
State: relaxed

Summary:
- E_form (uncorrected): -0.83 eV/atom
- D(E_F): 3.30 states/eV/f.u.

abc: 8.123 8.123 8.123
angles: 152.03 152.03 39.97
Fractional coordinates of all 3 atoms:
Ca: 0.688 0.688 0.000
Ba: 0.985 0.985 0.000
Br: 0.327 0.327 0.000

[10]
Material: Na2CaZrS4
Method: DFT, PBE
State: relaxed

Summary:
- E_form (uncorrected): -1.60 eV/atom

abc: 3.887 6.837 6.996
angles: 108.29 90.00 90.00
Fractional coordinates of all 8 atoms:
Na: 0.500 0.000 0.500
Na: 0.000 0.500 0.500
Ca: 0.500 0.500 0.000
Zr: 0.000 0.000 0.000
S: 0.500 0.222 0.220
S: 0.500 0.778 0.780
S: 0.000 0.234 0.776
S: 0.000 0.766 0.224

no.,M_tot (μB per atom),raw total energy (eV/atom)
1,0.000,-1.585
2,0.000,-5.015
3,0.000,-5.322
4,0.584,-8.497
5,0.000,-2.923
6,0.000,-4.052
7,0.000,-4.980
8,0.000,-4.516
9,0.000,-2.701
10,0.000,-5.312